The following is a GGA+U calculation of an optimized crystal structure of Cd2GeMoO6, from Alexandria.

Structure (extended XYZ):
```
10
Lattice="-3.7454 1.9446 -2.5516 1.8379 -2.2252 -4.3938 -2.8838 -4.2879 0.9653" Properties=species:S:1:pos:R:3 pbc="T T T"
O -1.9751 -1.3484 -4.8962
O -4.3897 -2.4032 -2.1557
O -3.4498 -3.5412 -4.4026
O -0.8360 0.4340 -0.5695
O -2.9150 -0.2105 -2.6493
O -1.2803 -2.8633 -2.2302
Ge -2.1841 1.1340 -1.4879
Mo -2.6658 -2.1441 -3.1740
Cd -1.4904 -2.1188 0.4496
Cd 0.8705 -1.0874 -2.2299
```

## Properties
As for the space group: No. 99. The final energy is -5.522 eV per atom.